Al4Ga3Ag5 (PBE-GGA, relaxed); calculated total energy = -37.0 eV/cell; formation energy from the elements = 0.108 eV/atom; space-group type = C2/m
1.0
-4.067 -3.064 -0.408
0.115 -4.821 3.079
-5.469 2.103 6.759
Ag Ga Al
5 3 4
Direct
0.617 0.717 0.050
0.383 0.283 0.950
0.854 0.168 0.125
0.500 0.500 0.500
0.146 0.832 0.875
0.324 0.081 0.271
0.676 0.919 0.729
0.000 0.500 0.500
0.783 0.012 0.422
0.217 0.988 0.578
0.092 0.628 0.189
0.908 0.372 0.811

---

Pr3Zn2Cu (PBE-GGA, relaxed); calculated total energy = -22.4 eV/cell; formation energy from the elements = -0.238 eV/atom; energy relative to the lowest polymorph listed for this composition = 2 meV per atom; space-group type = Cmmm
1.0
3.690 0.000 0.000
0.000 4.955 -1.640
0.000 -0.027 8.223
Zn Pr Cu
2 3 1
Direct
0.000 0.673 0.345
0.000 0.327 0.655
0.500 0.500 0.000
0.500 0.838 0.676
0.500 0.162 0.324
0.000 0.000 0.000

---

La2Tb3Pr6Cd (PBE-GGA, relaxed); calculated total energy = -53.6 eV/cell; formation energy from the elements = -0.019 eV/atom; space-group type = C2/m
1.0
6.293 -0.005 -0.017
-3.149 5.448 -0.017
-1.035 -1.792 11.838
La Pr Cd Tb
2 6 1 3
Direct
0.667 0.333 0.000
0.333 0.667 0.000
0.755 0.755 0.253
0.083 0.410 0.252
0.590 0.917 0.748
0.917 0.590 0.748
0.245 0.245 0.747
0.410 0.083 0.252
0.000 0.000 0.000
0.500 0.500 0.500
0.834 0.166 0.500
0.166 0.834 0.500

---

TbNi2H8Pd (PBE-GGA, relaxed); calculated total energy = -49.0 eV/cell; space-group type = P-3m1
1.0
-1.468 -2.823 3.361
3.973 2.322 0.498
-3.026 4.627 2.565
Ni H Pd Tb
2 8 1 1
Direct
0.667 0.333 0.334
0.333 0.667 0.666
0.832 0.663 0.179
0.168 0.337 0.821
0.832 0.168 0.179
0.663 0.832 0.821
0.333 0.667 0.413
0.667 0.333 0.587
0.337 0.168 0.179
0.168 0.832 0.821
0.000 0.000 0.000
0.000 0.000 0.500

---

Hf2CrIr (PBE-GGA, relaxed); calculated total energy = -40.3 eV/cell; formation energy from the elements = -0.490 eV/atom; space-group type = P4/mmm
1.0
-1.473 1.486 -2.539
-4.060 -1.367 1.556
-0.352 3.830 2.446
Hf Ir Cr
2 1 1
Direct
0.000 0.500 0.000
0.000 0.000 0.500
0.500 0.500 0.500
0.500 0.000 0.000

---

KMg3AlSi3H2O12 (PBE-GGA, relaxed); calculated total energy = -149.0 eV/cell; space-group type = P1
1.0
-0.190 4.640 -2.667
-3.029 4.021 1.830
7.047 5.080 6.317
K Mg O Al Si H
1 3 12 1 3 2
Direct
0.999 0.991 0.973
0.338 0.828 0.506
0.998 0.505 0.506
0.665 0.162 0.505
0.006 0.869 0.400
0.013 0.462 0.823
0.501 0.451 0.180
0.416 0.616 0.823
0.665 0.797 0.599
0.331 0.213 0.392
0.570 0.060 0.824
0.999 0.134 0.596
0.998 0.459 0.181
0.335 0.458 0.611
0.664 0.539 0.392
0.494 0.954 0.182
0.666 0.735 0.765
0.333 0.399 0.769
0.331 0.266 0.239
0.665 0.598 0.239
0.014 0.897 0.309
0.998 0.106 0.687